1.
The following is a meta-GGA SCAN calculation of a PBEsol-optimized structure of NaZn2PtC, from Alexandria via LeMat-Bulk.

Cell: 3.961 3.961 4.567 Å, 90.00 90.00 90.00°
Positions (direct):
Na  0.000  0.000  0.500
Zn  0.000  0.500  0.000
Zn  0.500  0.000  0.000
C  0.000  0.000  0.000
Pt  0.500  0.500  0.500

Values from the calculation:
formation energy from the elements	0.5402	eV per atom
V	14.33	Å³/atom
SG	P4/mmm
crystal system	tetragonal

2.
The following is a meta-GGA SCAN calculation of a PBEsol-optimized structure of Re4TePb, from Alexandria via LeMat-Bulk.

Cell: 5.337 5.337 5.337 Å, 60.00 60.00 60.00°
Positions (direct):
Pb  0.000  0.000  0.000
Re  0.376  0.376  0.376
Re  0.376  0.376  0.873
Re  0.873  0.376  0.376
Re  0.376  0.873  0.376
Te  0.750  0.750  0.750

Values from the calculation:
E_form (uncorrected)	1.043	eV/atom
V	17.91	Å³/atom
SG	F-43m
crystal system	cubic

3.
The following is a meta-GGA SCAN calculation of a PBEsol-optimized structure of Ba2TcPt, from Alexandria via LeMat-Bulk.

Cell: 5.214 5.214 5.214 Å, 60.00 60.00 60.00°
Positions (direct):
Ba  0.000  0.000  0.000
Ba  0.750  0.750  0.750
Pt  0.500  0.500  0.500
Tc  0.250  0.250  0.250

Values from the calculation:
formation energy from the elements	0.5301	eV per atom
V	25.06	Å³/atom
SG	F-43m
crystal system	cubic

Which formula does entry 1 have? NaZn2PtC

Look up the V of the second one. 17.91 Å³/atom

Look up the V of the first one. 14.33 Å³/atom

Among the records above, which one has the lowest V? NaZn2PtC